# PBE with a Hubbard U PrMoClO4, optimized geometry
# density of states at the Fermi level: 0.00 states/eV per atom
# raw total energy: -197.63 eV/cell
# crystal system: monoclinic
data_PrMoClO4
_symmetry_space_group_name_H-M 'C 1 2/m 1'
_symmetry_Int_Tables_number 12
_cell_length_a 10.6094
_cell_length_b 7.6105
_cell_length_c 7.1060
_cell_angle_alpha 90.00
_cell_angle_beta 106.52
_cell_angle_gamma 90.00
loop_
_symmetry_equiv_pos_as_xyz
'x,y,z'
'-x,-y,-z'
'-x,y,-z'
'x,-y,z'
'x+1/2,y+1/2,z'
'-x+1/2,-y+1/2,-z'
'-x+1/2,y+1/2,-z'
'x+1/2,-y+1/2,z'
loop_
_atom_site_label
_atom_site_type_symbol
_atom_site_fract_x
_atom_site_fract_y
_atom_site_fract_z
Pr1 Pr 0.2227 0.0000 0.1160
Mo1 Mo 0.1382 0.5000 0.2676
Cl1 Cl 0.0123 0.0000 0.7657
O1 O 0.0362 0.5000 0.7894
O2 O 0.1955 0.3160 0.1504
O3 O 0.2081 0.5000 0.5258